Entry from the Alexandria database: a geometry-optimized Sm3GaCu2Pt9 structure (PBE).

Calculated values
The energy of formation comes out at -417 meV/atom. Its magnetization is 0.00 μB/atom.

Unit cell a=7.6629 b=7.6629 c=5.9601 alpha=90.00 beta=90.00 gamma=120.00
Space group P-3m1 (No. 164)
Symmetry-distinct sites (fractional):
Sm1 0.0000 0.0000 0.0000
Sm2 0.3333 0.6667 0.6693
Ga1 0.0000 0.0000 0.5000
Cu1 0.3333 0.6667 0.1664
Pt1 0.0000 0.5000 0.0000
Pt2 0.1660 0.3321 0.3280